Entry 1:
KAg2: PBEsol geometry, SCAN.

Cell lengths 6.2488, 6.2488, 6.2488 Å; angles 152.29, 138.89, 50.30 degrees
Positions (direct):
1 K 0.0000 0.0000 0.0000
2 Ag 0.2845 0.2845 0.0000
3 Ag 0.7155 0.7155 0.0000

Results
**Raw total energy**: -23.600 eV per atom
**Space group**: No. 71


Entry 2:
KAg: PBEsol geometry, SCAN.

Cell lengths 4.7145, 4.7145, 16.0510 Å; angles 90.00, 90.00, 120.00 degrees
Positions (direct):
1 K 0.3333 0.6667 0.1195
2 K 0.3333 0.6667 0.3805
3 K 0.6667 0.3333 0.6195
4 K 0.6667 0.3333 0.8805
5 Ag 0.0000 0.0000 0.2500
6 Ag 0.0000 0.0000 0.7500
7 Ag 0.3333 0.6667 0.7500
8 Ag 0.6667 0.3333 0.2500

Results
**Raw total energy**: -19.810 eV per atom
**Space group**: No. 194
**Relative energy among the computed polymorphs**: 0 meV/atom


Entry 3:
KAg: PBEsol geometry, SCAN.

Cell lengths 3.7634, 3.7634, 9.6427 Å; angles 90.00, 90.00, 90.00 degrees
Positions (direct):
1 K 0.2500 0.2500 0.2081
2 K 0.7500 0.7500 0.7919
3 Ag 0.2500 0.2500 0.5354
4 Ag 0.7500 0.7500 0.4646

Results
**Raw total energy**: -19.727 eV per atom
**Space group**: No. 129
**Relative energy among the computed polymorphs**: 83 meV/atom


Entry 4:
K8Ag: PBEsol geometry, SCAN.

Cell lengths 10.9544, 10.9544, 10.9544 Å; angles 92.62, 92.62, 155.32 degrees
Positions (direct):
1 K 0.0000 0.3323 0.3323
2 K 0.0000 0.6677 0.6677
3 K 0.3323 0.0000 0.3323
4 K 0.3659 0.3659 0.7317
5 K 0.3659 0.6341 0.0000
6 K 0.6341 0.3659 0.0000
7 K 0.6341 0.6341 0.2683
8 K 0.6677 0.0000 0.6677
9 Ag 0.0000 0.0000 0.0000

Results
**Raw total energy**: -10.812 eV per atom
**Space group**: No. 139


Entry 5:
KAg2: PBEsol geometry, SCAN.

Cell lengths 5.7272, 5.7272, 9.6909 Å; angles 90.00, 90.00, 120.00 degrees
Positions (direct):
1 K 0.3333 0.6667 0.0615
2 K 0.3333 0.6667 0.4385
3 K 0.6667 0.3333 0.5615
4 K 0.6667 0.3333 0.9385
5 Ag 0.0000 0.0000 0.0000
6 Ag 0.0000 0.0000 0.5000
7 Ag 0.1654 0.3307 0.7500
8 Ag 0.1654 0.8346 0.7500
9 Ag 0.3307 0.1654 0.2500
10 Ag 0.6693 0.8346 0.7500
11 Ag 0.8346 0.1654 0.2500
12 Ag 0.8346 0.6693 0.2500

Results
**Raw total energy**: -23.681 eV per atom
**Space group**: No. 194


Entry 6:
KAg: PBEsol geometry, SCAN.

Cell lengths 5.9769, 5.9769, 5.9769 Å; angles 134.23, 125.21, 74.09 degrees
Positions (direct):
1 K 0.3523 0.1023 0.2500
2 K 0.6477 0.8977 0.7500
3 Ag 0.0732 0.3232 0.7500
4 Ag 0.9268 0.6768 0.2500

Results
**Raw total energy**: -19.755 eV per atom
**Space group**: No. 74
**Relative energy among the computed polymorphs**: 55 meV/atom


Entry 7:
KAg2: PBEsol geometry, SCAN.

Cell lengths 4.6532, 4.6532, 4.5083 Å; angles 90.00, 90.00, 120.00 degrees
Positions (direct):
1 K 0.0000 0.0000 0.0000
2 Ag 0.3333 0.6667 0.5000
3 Ag 0.6667 0.3333 0.5000

Results
**Raw total energy**: -23.572 eV per atom
**Space group**: No. 191


Entry 8:
K4Ag: PBEsol geometry, SCAN.

Cell lengths 7.0520, 7.0520, 7.0520 Å; angles 109.47, 109.47, 109.47 degrees
Positions (direct):
1 K 0.0000 0.0000 0.5000
2 K 0.0000 0.5000 0.0000
3 K 0.5000 0.0000 0.0000
4 K 0.5000 0.5000 0.5000
5 Ag 0.0000 0.0000 0.0000

Results
**Raw total energy**: -12.852 eV per atom
**Space group**: No. 229
**Relative energy among the computed polymorphs**: 23 meV/atom


Entry 9:
K4Ag: PBEsol geometry, SCAN.

Cell lengths 8.0410, 8.0410, 8.0410 Å; angles 94.13, 94.13, 148.86 degrees
Positions (direct):
1 K 0.0588 0.7514 0.8102
2 K 0.2486 0.0588 0.3074
3 K 0.7514 0.9412 0.6926
4 K 0.9412 0.2486 0.1898
5 Ag 0.5000 0.5000 0.0000

Results
**Raw total energy**: -12.875 eV per atom
**Space group**: No. 87
**Relative energy among the computed polymorphs**: 0 meV/atom


Entry 10:
KAg: PBEsol geometry, SCAN.

Cell lengths 4.7653, 4.7653, 7.7884 Å; angles 90.00, 90.00, 120.00 degrees
Positions (direct):
1 K 0.3333 0.6667 0.2500
2 K 0.6667 0.3333 0.7500
3 Ag 0.0000 0.0000 0.0000
4 Ag 0.0000 0.0000 0.5000

Results
**Raw total energy**: -19.649 eV per atom
**Space group**: No. 194
**Relative energy among the computed polymorphs**: 161 meV/atom


Entry 11:
K3Ag4: PBEsol geometry, SCAN.

Cell lengths 15.5884, 15.5884, 15.5884 Å; angles 166.23, 166.23, 19.52 degrees
Positions (direct):
1 K 0.0000 0.0000 0.0000
2 K 0.3147 0.3147 0.0000
3 K 0.6853 0.6853 0.0000
4 Ag 0.1045 0.1045 0.0000
5 Ag 0.4174 0.4174 0.0000
6 Ag 0.5826 0.5826 0.0000
7 Ag 0.8955 0.8955 0.0000

Results
**Raw total energy**: -21.370 eV per atom
**Space group**: No. 139


Entry 12:
KAg: PBEsol geometry, SCAN.

Cell lengths 6.4315, 6.4315, 8.5620 Å; angles 129.50, 129.50, 45.88 degrees
Positions (direct):
1 K 0.0000 0.0000 0.0000
2 K 0.5548 0.5548 0.6989
3 K 0.8568 0.8568 0.3037
4 Ag 0.2266 0.2266 0.5995
5 Ag 0.3199 0.3199 0.9997
6 Ag 0.6261 0.6261 0.3995

Results
**Raw total energy**: -19.794 eV per atom
**Space group**: No. 8
**Relative energy among the computed polymorphs**: 17 meV/atom